Crystalline AlAuC at its relaxed geometry. Source: the Alexandria database, functional PBE.

Lattice parameters (Å, degrees): 7.764 3.269 6.687 90.00 90.00 90.00
Element x y z (fractional)
Al 0.036 0.250 0.161
Al 0.464 0.750 0.661
Al 0.536 0.250 0.339
Al 0.964 0.750 0.839
Au 0.141 0.750 0.503
Au 0.359 0.250 0.003
Au 0.641 0.750 0.997
Au 0.859 0.250 0.497
C 0.157 0.750 0.046
C 0.343 0.250 0.546
C 0.657 0.750 0.454
C 0.843 0.250 0.954

Output
Space group: Pnma, No. 62
Formation energy from the elements, meV per atom: 551